1:
Density functional theory data (PBE-GGA) for an optimized crystal structure of CdAgHg.

Unit cell a=6.652 b=6.652 c=6.652 alpha=90.00 beta=90.00 gamma=90.00
Space group F-43m (No. 216)
Unique sites:
Cd 0.000 0.000 0.000 x4
Ag 0.250 0.250 0.750 x4
Hg 0.000 0.000 0.500 x4

Theoretical density   9.50 Mg/m³
DOS(E_F)   0.664 states/eV per atom
Calculated volume   24.531 A^3/atom



2:
Density functional theory data (PBE-GGA) for an optimized crystal structure of CdAgHg.

Unit cell a=3.317 b=4.139 c=9.144 alpha=90.00 beta=90.00 gamma=90.00
Space group Imm2 (No. 44)
Unique sites:
Cd 0.000 0.000 0.000 x2
Ag 0.000 0.000 0.340 x2
Hg 0.000 0.000 0.671 x2

Theoretical density   11.13 Mg/m³
DOS(E_F)   0.222 states/eV per atom
Calculated volume   20.925 A^3/atom



Pick 2: it beats the second-best structure by 0.052 eV/atom.



1:
Density functional theory data (PBE-GGA) for an optimized crystal structure of Cd2Ag3Hg.

Unit cell a=6.489 b=8.250 c=9.253 alpha=90.00 beta=96.70 gamma=90.00
Space group C2/c (No. 15)
Unique sites:
Cd 0.117 0.246 0.120 x8
Ag 0.000 0.435 0.750 x4
Ag 0.240 0.430 0.502 x8
Hg 0.000 0.082 0.750 x4

Theoretical density   10.11 Mg/m³
DOS(E_F)   0.267 states/eV per atom
Calculated volume   20.498 A^3/atom



2:
Density functional theory data (PBE-GGA) for an optimized crystal structure of Cd2Ag3Hg.

Unit cell a=4.846 b=9.184 c=5.309 alpha=90.00 beta=90.00 gamma=90.00
Space group Pmc2_1 (No. 26)
Unique sites:
Cd 0.000 0.084 0.000 x2
Cd 0.500 0.243 0.808 x2
Ag 0.000 0.250 0.487 x2
Ag 0.000 0.417 0.973 x2
Ag 0.500 0.079 0.320 x2
Hg 0.500 0.409 0.308 x2

Theoretical density   10.53 Mg/m³
DOS(E_F)   0.423 states/eV per atom
Calculated volume   19.690 A^3/atom



Pick 2: it beats the second-best structure by 0.058 eV/atom.



1:
Density functional theory data (PBE-GGA) for an optimized crystal structure of CdAg4Hg2.

Unit cell a=5.729 b=7.229 c=7.928 alpha=64.96 beta=68.84 gamma=75.01
Space group P1 (No. 1)
Unique sites:
Cd 0.000 0.000 0.000 x1
Cd 0.199 0.763 0.543 x1
Ag 0.158 0.585 0.278 x1
Ag 0.486 0.908 0.126 x1
Ag 0.590 0.295 0.131 x1
Ag 0.637 0.497 0.393 x1
Ag 0.729 0.857 0.426 x1
Ag 0.782 0.051 0.693 x1
Ag 0.878 0.433 0.702 x1
Ag 0.918 0.627 0.971 x1
Hg 0.043 0.205 0.261 x1
Hg 0.315 0.160 0.548 x1
Hg 0.355 0.333 0.831 x1
Hg 0.454 0.721 0.859 x1

Theoretical density   11.40 Mg/m³
DOS(E_F)   0.267 states/eV per atom
Calculated volume   19.660 A^3/atom



2:
Density functional theory data (PBE-GGA) for an optimized crystal structure of CdAg4Hg2.

Unit cell a=5.261 b=5.261 c=13.930 alpha=90.00 beta=90.00 gamma=90.00
Space group I4/mmm (No. 139)
Unique sites:
Cd 0.000 0.000 0.000 x2
Ag 0.000 0.000 0.194 x4
Ag 0.000 0.500 0.000 x4
Hg 0.000 0.000 0.389 x4

Theoretical density   8.14 Mg/m³
DOS(E_F)   0.294 states/eV per atom
Calculated volume   27.536 A^3/atom



Pick 1: it beats the second-best structure by 0.415 eV/atom.



1:
Density functional theory data (PBE-GGA) for an optimized crystal structure of Cd6Ag2Hg.

Unit cell a=11.466 b=8.251 c=8.813 alpha=90.00 beta=100.01 gamma=90.00
Space group C2/c (No. 15)
Unique sites:
Cd 0.106 0.144 0.373 x8
Cd 0.136 0.466 0.518 x8
Cd 0.137 0.167 0.042 x8
Ag 0.212 0.134 0.717 x8
Hg 0.000 0.332 0.750 x4

Theoretical density   8.83 Mg/m³
DOS(E_F)   0.221 states/eV per atom
Calculated volume   22.805 A^3/atom



2:
Density functional theory data (PBE-GGA) for an optimized crystal structure of Cd6Ag2Hg.

Unit cell a=9.947 b=8.646 c=4.982 alpha=90.00 beta=105.70 gamma=90.00
Space group C2/m (No. 12)
Unique sites:
Cd 0.088 0.189 0.292 x8
Cd 0.159 0.500 0.597 x4
Ag 0.175 0.000 0.828 x4
Hg 0.000 0.500 0.000 x2

Theoretical density   8.78 Mg/m³
DOS(E_F)   0.265 states/eV per atom
Calculated volume   22.914 A^3/atom



Pick 1: it beats the second-best structure by 0.025 eV/atom.



1:
Density functional theory data (PBE-GGA) for an optimized crystal structure of Cd8AgHg2.

Unit cell a=4.386 b=6.247 c=10.167 alpha=104.53 beta=100.50 gamma=93.96
Space group P-1 (No. 2)
Unique sites:
Cd 0.051 0.306 0.052 x2
Cd 0.221 0.601 0.416 x2
Cd 0.363 0.704 0.731 x2
Cd 0.435 0.261 0.802 x2
Ag 0.500 0.000 0.000 x1
Hg 0.166 0.054 0.381 x2

Theoretical density   8.89 Mg/m³
DOS(E_F)   0.309 states/eV per atom
Calculated volume   23.926 A^3/atom



2:
Density functional theory data (PBE-GGA) for an optimized crystal structure of Cd8AgHg2.

Unit cell a=7.291 b=13.786 c=5.456 alpha=90.00 beta=108.78 gamma=90.00
Space group C2/m (No. 12)
Unique sites:
Cd 0.000 0.219 0.000 x4
Cd 0.098 0.500 0.779 x4
Cd 0.207 0.108 0.698 x8
Ag 0.000 0.000 0.000 x2
Hg 0.000 0.302 0.500 x4

Theoretical density   9.01 Mg/m³
DOS(E_F)   0.306 states/eV per atom
Calculated volume   23.600 A^3/atom



Pick 1: it beats the second-best structure by 0.021 eV/atom.



1:
Density functional theory data (PBE-GGA) for an optimized crystal structure of Cd3AgHg.

Unit cell a=5.055 b=5.056 c=9.652 alpha=95.56 beta=95.20 gamma=108.66
Space group P-1 (No. 2)
Unique sites:
Cd 0.161 0.158 0.136 x2
Cd 0.251 0.249 0.500 x2
Cd 0.338 0.343 0.864 x2
Ag 0.204 0.704 0.315 x2
Hg 0.297 0.797 0.688 x2

Theoretical density   9.30 Mg/m³
DOS(E_F)   0.218 states/eV per atom
Calculated volume   23.068 A^3/atom



2:
Density functional theory data (PBE-GGA) for an optimized crystal structure of Cd3AgHg.

Unit cell a=3.100 b=9.622 c=8.258 alpha=90.00 beta=100.77 gamma=90.00
Space group P2_1/m (No. 11)
Unique sites:
Cd 0.109 0.250 0.218 x2
Cd 0.336 0.029 0.674 x4
Ag 0.237 0.750 0.472 x2
Hg 0.000 0.000 0.000 x2

Theoretical density   8.86 Mg/m³
DOS(E_F)   0.302 states/eV per atom
Calculated volume   24.200 A^3/atom



Pick 1: it beats the second-best structure by 0.021 eV/atom.